Material: Tl2ZnSnO4
Method: DFT, PBE
State: optimized geometry

abc: 5.628 5.922 5.924
angles: 91.22 118.31 118.37
Fractional positions:
Tl 0.000 0.000 0.000
Tl 0.498 0.253 0.746
Zn 0.470 0.751 0.249
Sn 0.967 0.507 0.493
O 0.090 0.629 0.870
O 0.316 0.535 0.463
O 0.588 0.130 0.370
O 0.819 0.722 0.281

Computed properties:
- total DFT energy (no corrections) (eV/atom) = -4.867
- calculated density (Mg/m³) = 7.52



Material: Tm3Sn5O12
Method: DFT, PBE
State: optimized geometry

abc: 11.463 11.463 11.463
angles: 109.47 109.47 109.47
Fractional positions:
Tm 0.125 0.250 0.375
Tm 0.125 0.375 0.750
Tm 0.250 0.375 0.125
Tm 0.250 0.875 0.625
Tm 0.375 0.125 0.250
Tm 0.375 0.750 0.125
Tm 0.625 0.250 0.875
Tm 0.625 0.875 0.750
Tm 0.750 0.125 0.375
Tm 0.750 0.625 0.875
Tm 0.875 0.625 0.250
Tm 0.875 0.750 0.625
Sn 0.000 0.000 0.000
Sn 0.000 0.000 0.500
Sn 0.000 0.500 0.000
Sn 0.000 0.500 0.500
Sn 0.125 0.750 0.875
Sn 0.125 0.875 0.250
Sn 0.250 0.125 0.875
Sn 0.250 0.625 0.375
Sn 0.375 0.250 0.625
Sn 0.375 0.625 0.750
Sn 0.500 0.000 0.000
Sn 0.500 0.000 0.500
Sn 0.500 0.500 0.000
Sn 0.500 0.500 0.500
Sn 0.625 0.375 0.250
Sn 0.625 0.750 0.375
Sn 0.750 0.375 0.625
Sn 0.750 0.875 0.125
Sn 0.875 0.125 0.750
Sn 0.875 0.250 0.125
O 0.049 0.213 0.132
O 0.049 0.335 0.917
O 0.081 0.713 0.665
O 0.081 0.868 0.417
O 0.083 0.632 0.419
O 0.083 0.951 0.665
O 0.132 0.049 0.213
O 0.132 0.583 0.919
O 0.165 0.213 0.581
O 0.165 0.451 0.583
O 0.213 0.132 0.049
O 0.213 0.581 0.165
O 0.287 0.335 0.919
O 0.287 0.451 0.368
O 0.335 0.917 0.049
O 0.335 0.919 0.287
O 0.368 0.287 0.451
O 0.368 0.581 0.917
O 0.417 0.081 0.868
O 0.417 0.835 0.549
O 0.419 0.083 0.632
O 0.419 0.835 0.787
O 0.451 0.368 0.287
O 0.451 0.583 0.165
O 0.549 0.417 0.835
O 0.549 0.632 0.713
O 0.581 0.165 0.213
O 0.581 0.917 0.368
O 0.583 0.165 0.451
O 0.583 0.919 0.132
O 0.632 0.419 0.083
O 0.632 0.713 0.549
O 0.665 0.081 0.713
O 0.665 0.083 0.951
O 0.713 0.549 0.632
O 0.713 0.665 0.081
O 0.787 0.419 0.835
O 0.787 0.868 0.951
O 0.835 0.549 0.417
O 0.835 0.787 0.419
O 0.868 0.417 0.081
O 0.868 0.951 0.787
O 0.917 0.049 0.335
O 0.917 0.368 0.581
O 0.919 0.132 0.583
O 0.919 0.287 0.335
O 0.951 0.665 0.083
O 0.951 0.787 0.868

Computed properties:
- total DFT energy (no corrections) (eV/atom) = -6.634
- calculated density (Mg/m³) = 7.40



Material: Tm2SnO
Method: DFT, PBE
State: optimized geometry

abc: 7.772 7.772 7.772
angles: 25.89 25.89 25.89
Fractional positions:
Tm 0.224 0.224 0.224
Tm 0.776 0.776 0.776
Sn 0.000 0.000 0.000
O 0.500 0.500 0.500

Computed properties:
- total DFT energy (no corrections) (eV/atom) = -6.124
- calculated density (Mg/m³) = 9.95



Material: Tm12Sn3O5
Method: DFT, PBE
State: optimized geometry

abc: 13.286 13.286 13.286
angles: 109.47 109.47 109.47
Fractional positions:
Tm 0.007 0.196 0.106
Tm 0.007 0.311 0.901
Tm 0.090 0.696 0.689
Tm 0.090 0.894 0.401
Tm 0.099 0.606 0.410
Tm 0.099 0.993 0.689
Tm 0.106 0.007 0.196
Tm 0.106 0.599 0.910
Tm 0.189 0.196 0.590
Tm 0.189 0.493 0.599
Tm 0.196 0.106 0.007
Tm 0.196 0.590 0.189
Tm 0.304 0.311 0.910
Tm 0.304 0.493 0.394
Tm 0.311 0.901 0.007
Tm 0.311 0.910 0.304
Tm 0.394 0.304 0.493
Tm 0.394 0.590 0.901
Tm 0.401 0.090 0.894
Tm 0.401 0.811 0.507
Tm 0.410 0.099 0.606
Tm 0.410 0.811 0.804
Tm 0.493 0.394 0.304
Tm 0.493 0.599 0.189
Tm 0.507 0.401 0.811
Tm 0.507 0.606 0.696
Tm 0.590 0.189 0.196
Tm 0.590 0.901 0.394
Tm 0.599 0.189 0.493
Tm 0.599 0.910 0.106
Tm 0.606 0.410 0.099
Tm 0.606 0.696 0.507
Tm 0.689 0.090 0.696
Tm 0.689 0.099 0.993
Tm 0.696 0.507 0.606
Tm 0.696 0.689 0.090
Tm 0.804 0.410 0.811
Tm 0.804 0.894 0.993
Tm 0.811 0.507 0.401
Tm 0.811 0.804 0.410
Tm 0.894 0.401 0.090
Tm 0.894 0.993 0.804
Tm 0.901 0.007 0.311
Tm 0.901 0.394 0.590
Tm 0.910 0.106 0.599
Tm 0.910 0.304 0.311
Tm 0.993 0.689 0.099
Tm 0.993 0.804 0.894
Sn 0.125 0.250 0.375
Sn 0.125 0.375 0.750
Sn 0.250 0.375 0.125
Sn 0.250 0.875 0.625
Sn 0.375 0.125 0.250
Sn 0.375 0.750 0.125
Sn 0.625 0.250 0.875
Sn 0.625 0.875 0.750
Sn 0.750 0.125 0.375
Sn 0.750 0.625 0.875
Sn 0.875 0.625 0.250
Sn 0.875 0.750 0.625
O 0.000 0.000 0.000
O 0.000 0.000 0.500
O 0.000 0.500 0.000
O 0.000 0.500 0.500
O 0.125 0.750 0.875
O 0.125 0.875 0.250
O 0.250 0.125 0.875
O 0.250 0.625 0.375
O 0.375 0.250 0.625
O 0.375 0.625 0.750
O 0.500 0.000 0.000
O 0.500 0.000 0.500
O 0.500 0.500 0.000
O 0.500 0.500 0.500
O 0.625 0.375 0.250
O 0.625 0.750 0.375
O 0.750 0.375 0.625
O 0.750 0.875 0.125
O 0.875 0.125 0.750
O 0.875 0.250 0.125

Computed properties:
- total DFT energy (no corrections) (eV/atom) = -6.155
- calculated density (Mg/m³) = 9.06



Material: Tm2SnO
Method: DFT, PBE
State: optimized geometry

abc: 8.554 8.554 6.058
angles: 90.00 90.00 156.45
Fractional positions:
Tm 0.071 0.929 0.500
Tm 0.247 0.753 0.136
Tm 0.753 0.247 0.636
Tm 0.929 0.071 0.000
Sn 0.406 0.594 0.461
Sn 0.594 0.406 0.961
O 0.198 0.802 0.465
O 0.802 0.198 0.965

Computed properties:
- total DFT energy (no corrections) (eV/atom) = -6.254
- calculated density (Mg/m³) = 8.86



Material: Tm2SnO
Method: DFT, PBE
State: optimized geometry

abc: 4.441 4.441 8.627
angles: 90.00 90.00 90.00
Fractional positions:
Tm 0.250 0.250 0.168
Tm 0.250 0.750 0.500
Tm 0.750 0.250 0.500
Tm 0.750 0.750 0.832
Sn 0.250 0.250 0.800
Sn 0.750 0.750 0.200
O 0.250 0.250 0.429
O 0.750 0.750 0.571

Computed properties:
- total DFT energy (no corrections) (eV/atom) = -6.359
- calculated density (Mg/m³) = 9.23



Material: Tm3SnO6
Method: DFT, PBE
State: optimized geometry

abc: 7.078 7.078 5.588
angles: 90.00 90.00 102.83
Fractional positions:
Tm 0.099 0.901 0.500
Tm 0.194 0.409 0.556
Tm 0.409 0.194 0.056
Tm 0.591 0.806 0.556
Tm 0.806 0.591 0.056
Tm 0.901 0.099 0.000
Sn 0.329 0.671 0.067
Sn 0.671 0.329 0.567
O 0.074 0.602 0.269
O 0.142 0.180 0.275
O 0.180 0.142 0.775
O 0.276 0.724 0.700
O 0.398 0.926 0.269
O 0.482 0.518 0.330
O 0.518 0.482 0.830
O 0.602 0.074 0.769
O 0.724 0.276 0.200
O 0.820 0.858 0.275
O 0.858 0.820 0.775
O 0.926 0.398 0.769

Computed properties:
- total DFT energy (no corrections) (eV/atom) = -7.721
- calculated density (Mg/m³) = 8.78



Material: Tm2SnO5
Method: DFT, PBE
State: optimized geometry

abc: 7.489 3.699 15.584
angles: 90.00 90.00 90.00
Fractional positions:
Tm 0.097 0.250 0.089
Tm 0.133 0.250 0.741
Tm 0.367 0.750 0.241
Tm 0.403 0.750 0.589
Tm 0.597 0.250 0.411
Tm 0.633 0.250 0.759
Tm 0.867 0.750 0.259
Tm 0.903 0.750 0.911
Sn 0.130 0.250 0.427
Sn 0.370 0.750 0.927
Sn 0.630 0.250 0.073
Sn 0.870 0.750 0.573
O 0.087 0.750 0.656
O 0.097 0.750 0.470
O 0.108 0.750 0.181
O 0.138 0.750 0.005
O 0.185 0.750 0.830
O 0.315 0.250 0.330
O 0.362 0.250 0.505
O 0.392 0.250 0.681
O 0.403 0.250 0.970
O 0.413 0.250 0.156
O 0.587 0.750 0.844
O 0.597 0.750 0.030
O 0.608 0.750 0.319
O 0.638 0.750 0.495
O 0.685 0.750 0.670
O 0.815 0.250 0.170
O 0.862 0.250 0.995
O 0.892 0.250 0.819
O 0.903 0.250 0.530
O 0.913 0.250 0.344

Computed properties:
- total DFT energy (no corrections) (eV/atom) = -7.601
- calculated density (Mg/m³) = 8.26



Question: What is the total DFT energy (no corrections) in the eighth record?
Answer: -7.601 eV/atom



Question: total DFT energy (no corrections) of number 2 (Tm3Sn5O12)?
Answer: -6.634 eV/atom



Question: Among the records above, which one has the lowest total DFT energy (no corrections)?
Answer: Tm3SnO6